No. 1
Material: Zr2Ta4Si3C3
Method: DFT, GGA-PBE
State: optimized geometry

CIF file:
```
data_Zr2Ta4Si3C3
_symmetry_space_group_name_H-M 'C 1 2/c 1'
_symmetry_Int_Tables_number 15
_symmetry_space_group_name_Hall '-C 2yc'
_cell_length_a 9.599
_cell_length_b 5.535
_cell_length_c 13.494
_cell_angle_alpha 90.00
_cell_angle_beta 103.85
_cell_angle_gamma 90.00
loop_
_atom_site_label
_atom_site_fract_x
_atom_site_fract_y
_atom_site_fract_z
Zr1 0.046 0.082 0.394
Ta1 0.114 0.412 0.591
Ta2 0.222 0.418 0.909
Si1 0.000 0.468 0.250
Si2 0.190 0.105 0.751
C1 0.084 0.253 0.000
C2 0.250 0.250 0.500
```

Properties
The electronic total energy is -463.6 eV/cell.

***

No. 2
Material: Ir2O5
Method: DFT, GGA-PBE
State: optimized geometry

CIF file:
```
data_Ir2O5
_symmetry_space_group_name_H-M 'C 1 m 1'
_symmetry_Int_Tables_number 8
_symmetry_space_group_name_Hall 'C -2y'
_cell_length_a 5.527
_cell_length_b 7.803
_cell_length_c 4.808
_cell_angle_alpha 90.00
_cell_angle_beta 112.27
_cell_angle_gamma 90.00
loop_
_atom_site_label
_atom_site_fract_x
_atom_site_fract_y
_atom_site_fract_z
Ir1 0.000 0.174 0.000
O1 0.231 0.168 0.775
O2 0.270 0.500 0.760
O3 0.304 0.281 0.263
```

Properties
The electronic total energy is -88.8 eV/cell. The calculation puts the energy above the most stable polymorph in this dataset at 193 meV/atom.

***

No. 3
Material: KTaAuSeS2
Method: DFT, GGA-PBE
State: optimized geometry

CIF file:
```
data_KTaAuSeS2
_symmetry_space_group_name_H-M 'C m c m'
_symmetry_Int_Tables_number 63
_symmetry_space_group_name_Hall '-C 2c 2'
_cell_length_a 3.596
_cell_length_b 15.480
_cell_length_c 10.001
_cell_angle_alpha 90.00
_cell_angle_beta 90.00
_cell_angle_gamma 90.00
loop_
_atom_site_label
_atom_site_fract_x
_atom_site_fract_y
_atom_site_fract_z
K1 0.000 0.242 0.250
Ta1 0.000 0.000 0.000
Au1 0.000 0.445 0.750
Se1 0.000 0.078 0.750
S1 0.000 0.386 0.530
```

Properties
The electronic total energy is -127.3 eV/cell.

***

No. 4
Material: Sr7Ir3
Method: DFT, GGA-PBE
State: optimized geometry

CIF file:
```
data_Sr7Ir3
_symmetry_space_group_name_H-M 'P 63 m c'
_symmetry_Int_Tables_number 186
_symmetry_space_group_name_Hall 'P 6c -2c'
_cell_length_a 10.6413
_cell_length_b 10.6413
_cell_length_c 6.7118
_cell_angle_alpha 90.00
_cell_angle_beta 90.00
_cell_angle_gamma 120.00
loop_
_atom_site_label
_atom_site_fract_x
_atom_site_fract_y
_atom_site_fract_z
Sr1 0.0768 0.5384 0.0000
Sr2 0.1258 0.2517 0.6914
Sr3 0.3333 0.6667 0.4500
Ir1 0.1876 0.3751 0.2598
```

Properties
The electronic total energy is -79.3 eV/cell.

***

No. 5
Material: TmTcAs
Method: DFT, GGA-PBE
State: optimized geometry

CIF file:
```
data_TmTcAs
_symmetry_space_group_name_H-M 'F -4 3 m'
_symmetry_Int_Tables_number 216
_symmetry_space_group_name_Hall 'F -4 2 3'
_cell_length_a 6.454
_cell_length_b 6.454
_cell_length_c 6.454
_cell_angle_alpha 90.00
_cell_angle_beta 90.00
_cell_angle_gamma 90.00
loop_
_atom_site_label
_atom_site_fract_x
_atom_site_fract_y
_atom_site_fract_z
Tm1 0.000 0.000 0.000
Tc1 0.250 0.250 0.250
As1 0.250 0.250 0.750
```

Properties
The electronic total energy is -71.0 eV/cell. The calculation puts the energy above the most stable polymorph in this dataset at 811 meV/atom.

***

No. 6
Material: CdAg2SnTeS3
Method: DFT, GGA-PBE
State: optimized geometry

CIF file:
```
data_CdAg2SnTeS3
_symmetry_space_group_name_H-M 'C 1 m 1'
_symmetry_Int_Tables_number 8
_symmetry_space_group_name_Hall 'C -2y'
_cell_length_a 8.581
_cell_length_b 8.349
_cell_length_c 7.400
_cell_angle_alpha 90.00
_cell_angle_beta 124.91
_cell_angle_gamma 90.00
loop_
_atom_site_label
_atom_site_fract_x
_atom_site_fract_y
_atom_site_fract_z
Cd1 0.000 0.000 0.000
Ag1 0.491 0.221 0.461
Sn1 0.017 0.500 0.991
Te1 0.124 0.000 0.716
S1 0.129 0.263 0.234
S2 0.133 0.500 0.756
```

Properties
The electronic total energy is -57.1 eV/cell.

***

What did the fourth record say?
Material: Sr7Ir3
Method: DFT, GGA-PBE
State: optimized geometry

CIF file:
```
data_Sr7Ir3
_symmetry_space_group_name_H-M 'P 63 m c'
_symmetry_Int_Tables_number 186
_symmetry_space_group_name_Hall 'P 6c -2c'
_cell_length_a 10.6413
_cell_length_b 10.6413
_cell_length_c 6.7118
_cell_angle_alpha 90.00
_cell_angle_beta 90.00
_cell_angle_gamma 120.00
loop_
_atom_site_label
_atom_site_fract_x
_atom_site_fract_y
_atom_site_fract_z
Sr1 0.0768 0.5384 0.0000
Sr2 0.1258 0.2517 0.6914
Sr3 0.3333 0.6667 0.4500
Ir1 0.1876 0.3751 0.2598
```

Properties
The electronic total energy is -79.3 eV/cell.

***

- Number 1 is which compound?
  Zr2Ta4Si3C3